Computed, not measured: a PBEsol-optimized structure of Ca2TaW at the SCAN level of DFT.

Computed properties:
* space group: Pmmm
* volume: 83.0 Å³ per cell
* energy above the lowest structure with this stoichiometry: 0.276 eV/atom

Lattice parameters (Å, degrees): 3.727 4.221 5.275 90.00 90.00 90.00
Element x y z (fractional)
Ca 0.000 0.000 0.000
Ca 0.500 0.500 0.000
Ta 0.000 0.500 0.500
W 0.500 0.000 0.500